# CaDy4Lu, optimized geometry, DFT PBE-GGA
data_CaDy4Lu
_chemical_formula_sum 'Ca4 Dy16 Lu4'
_cell_length_a 9.339
_cell_length_b 9.339
_cell_length_c 9.339
_cell_angle_alpha 90.00
_cell_angle_beta 90.00
_cell_angle_gamma 90.00
_symmetry_space_group_name_H-M 'F -4 3 m'
_symmetry_Int_Tables_number 216
_symmetry_space_group_name_Hall 'F -4 2 3'
loop_
_atom_site_label
_atom_site_fract_x
_atom_site_fract_y
_atom_site_fract_z
_atom_site_occupancy
Ca1 0.000 0.000 0.000 1
Dy1 0.123 0.123 0.377 1
Lu1 0.250 0.250 0.750 1
# formation energy from the elements: 223 meV per atom
# magnetic moment: 0.00 μB/f.u.
# N(E_F): 35.23 states/eV/cell